w:
VASP calculation (PBE-GGA) on a relaxed LaPb2Au crystal.

Calculated values
DOS(E_F): 0.641 states/eV per atom
Space-group type: Fm-3m
Total magnetic moment: 0.00 μB/cell

Unit cell a=5.384 b=5.384 c=5.384 alpha=60.00 beta=60.00 gamma=60.00
Positions (direct):
Pb (0.250, 0.250, 0.250)
Pb (0.750, 0.750, 0.750)
Au (0.500, 0.500, 0.500)
La (0.000, 0.000, 0.000)

x:
VASP calculation (PBE-GGA) on a relaxed LaPb2Au crystal.

Calculated values
DOS(E_F): 0.681 states/eV per atom
Space-group type: F-43m
Total magnetic moment: 0.00 μB/cell

Unit cell a=5.435 b=5.435 c=5.435 alpha=60.00 beta=60.00 gamma=60.00
Positions (direct):
Au (0.500, 0.500, 0.500)
La (0.750, 0.750, 0.750)
Pb (0.000, 0.000, 0.000)
Pb (0.250, 0.250, 0.250)

y:
VASP calculation (PBE-GGA) on a relaxed LaPb2Au crystal.

Calculated values
DOS(E_F): 0.981 states/eV per atom
Space-group type: Pmmm
Total magnetic moment: 0.02 μB/cell

Unit cell a=3.840 b=3.808 c=7.582 alpha=90.00 beta=90.00 gamma=90.00
Positions (direct):
Au (0.500, 0.500, 0.250)
La (0.500, 0.500, 0.750)
Pb (0.000, 0.000, 0.041)
Pb (0.000, 0.000, 0.459)

Which structure wins on stability? x wins.